Compound: NbAgIO2
Source: the Alexandria database
Functional: PBE-GGA
Structure: optimized geometry

Structure (POSCAR):
```
NbAgIO2
1.0
-0.1004 2.8356 2.8268
-1.9910 -2.4886 2.4257
5.3643 -2.0761 2.2731
I Nb O Ag
1 1 2 1
Cartesian
2.6822 -1.0381 1.1365
0.0000 0.0000 0.0000
-0.9955 -1.2443 1.2129
-0.0502 1.4178 1.4134
1.6364 -0.8646 3.7628
```

Computed properties:
- energy above the lowest structure with this stoichiometry (eV/f.u.) = 0.00
- calculated volume (A^3/atom) = 19.8
- symmetry = P4/mmm
- magnetization (μB/cell) = 0.00
- uncorrected energy (eV for the cell shown) = -30.1


Compound: ErTiS
Source: the Alexandria database
Functional: PBE-GGA
Structure: optimized geometry

Structure (POSCAR):
```
ErTiS
1.0
3.8974 0.0000 0.0000
0.0000 4.1822 0.0000
0.0000 -2.0911 3.6219
S Ti Er
1 1 1
Cartesian
0.6506 0.0000 2.4146
0.6492 0.0000 0.0000
2.5976 2.0911 1.2073
```

Computed properties:
- calculated volume (A^3/atom) = 19.7
- symmetry = P-6m2
- magnetization (μB/cell) = 0.30
- uncorrected energy (eV for the cell shown) = -18.5


Compound: SrYTlAg
Source: the Alexandria database
Functional: PBE-GGA
Structure: optimized geometry

Structure (POSCAR):
```
SrYTlAg
1.0
5.4511 0.0000 0.0000
2.7255 4.7208 0.0000
2.7255 1.5736 4.4508
Y Sr Tl Ag
1 1 1 1
Cartesian
8.1766 4.7208 3.3381
2.7255 1.5736 1.1127
5.4511 3.1472 2.2254
0.0000 0.0000 0.0000
```

Computed properties:
- formation enthalpy at 0 K (eV/atom) = -0.288
- calculated volume (A^3/atom) = 28.6
- symmetry = F-43m
- magnetization (μB/cell) = 0.00
- uncorrected energy (eV for the cell shown) = -14.5


Compound: Yb6Cu23
Source: the Alexandria database
Functional: PBE-GGA
Structure: optimized geometry

Structure (POSCAR):
```
Yb6Cu23
1.0
8.6195 0.0000 0.0000
4.3097 7.4647 0.0000
4.3097 2.4882 7.0378
Yb Cu
6 23
Cartesian
10.4518 6.0343 2.0228
6.7872 6.0343 2.0228
8.6195 2.8607 2.0228
6.7872 3.9186 5.0150
10.4518 3.9186 5.0150
8.6195 7.0922 5.0150
0.0000 0.0000 0.0000
2.1549 1.2441 3.5189
6.4646 1.2441 3.5189
4.3097 4.9765 3.5189
6.4646 3.7323 0.0000
2.1549 3.7323 0.0000
4.3097 0.0000 0.0000
12.9292 7.4647 2.6002
12.9292 4.9397 6.1710
10.7425 8.7272 6.1710
15.1159 8.7272 6.1710
4.3097 2.4882 4.4376
4.3097 5.0132 0.8667
6.4964 1.2257 0.8667
2.1230 1.2257 0.8667
12.9292 7.4647 6.8651
12.9292 8.9607 4.7494
14.2248 6.7167 4.7494
11.6336 6.7167 4.7494
4.3097 2.4882 0.1727
4.3097 0.9922 2.2884
3.0142 3.2362 2.2884
5.6053 3.2362 2.2884
```

Computed properties:
- formation enthalpy at 0 K (eV/atom) = -0.148
- calculated volume (A^3/atom) = 15.6
- symmetry = Fm-3m
- magnetization (μB/cell) = 1.36
- uncorrected energy (eV for the cell shown) = -107.7


Question: Look up the uncorrected energy of the second one.
Answer: -18.5 eV for the cell shown


Question: Which value of calculated volume does entry 4 give?
Answer: 15.6 A^3/atom